VASP calculation (PBE-GGA) on a relaxed structure of Cs2Na7Au2.

Output
Spin magnetization: 0.00 μB per formula unit
VASP energy: -1.677 eV/atom

```
data_Cs2Na7Au2
_chemical_formula_sum 'Cs4 Na14 Au4'
_space_group_name_H-M_alt 'I m m m'
_space_group_IT_number 71
_space_group_name_Hall '-I 2 2'
_cell_length_a 4.937
_cell_length_b 11.686
_cell_length_c 15.066
_cell_angle_alpha 90.00
_cell_angle_beta 90.00
_cell_angle_gamma 90.00
loop_
_atom_site_label
_atom_site_type_symbol
_atom_site_fract_x
_atom_site_fract_y
_atom_site_fract_z
Cs1 Cs 0.000 0.000 0.131
Na1 Na 0.000 0.000 0.500
Na2 Na 0.000 0.228 0.375
Na3 Na 0.000 0.500 0.140
Au1 Au 0.000 0.305 0.000
```